The following is a GGA-PBEsol calculation of crystalline Cu2SbMo at its relaxed geometry, from the Alexandria database.

The space group is P4mm (No. 99) and the conventional cell measures 3.273, 3.273 and 5.613 Å, with angles of 90.00, 90.00 and 90.00 degrees. The distinct sites, in fractional coordinates, are Cu at (0.000, 0.000, 0.000), Cu at (0.500, 0.500, 0.192), Sb at (0.500, 0.500, 0.716) and Mo at (0.000, 0.000, 0.464).

As for the volume: 60.1 Å³ per cell. The calculation puts the energy relative to the elements, uncorrected at 289.6 meV/atom.